DFT (PBE+U) results for a relaxed structure of CaVBO4.

Cell and atoms, written as extended XYZ:
```
14
Lattice="-0.7901 1.6523 -5.5894 -5.7353 -1.5252 -2.7349 -3.4198 5.4792 -0.9916" Properties=species:S:1:pos:R:3 pbc="T T T"
O -4.6055 4.9253 -5.4318
O -5.6843 1.4014 -6.3210
O -7.2902 2.8751 -4.3091
O -2.6551 2.7313 -5.0069
O -2.3697 1.9353 -2.1877
O -5.3398 0.6810 -3.8842
O -4.2610 4.2050 -2.9950
O -7.5756 3.6711 -7.1283
V -1.7099 2.7396 -0.4958
V -2.1050 3.5658 -3.2905
Ca 0.0000 0.0000 0.0000
Ca -4.5776 1.9770 -1.8633
B -4.4464 4.5688 -4.2104
B -5.4989 1.0376 -5.1055
```

Computed properties:
- DFT total energy: -7.359 eV/atom